The following is a DFT calculation (PBE) of crystalline CuSb2PdI at its relaxed geometry.

Geometry as extended XYZ:
```
5
Lattice="5.204 0.000 0.000 0.000 5.204 0.000 0.000 0.000 5.582" Properties=species:S:1:pos:R:3 pbc="T T T"
Cu 0.000 0.000 0.000
Sb 0.000 2.602 2.791
Sb 2.602 0.000 2.791
Pd 2.602 2.602 2.791
I 2.602 2.602 0.000
```

Density of states at the Fermi level: 1.069 states/eV per atom
Final energy: -15.8 eV/cell